No. 1
28
Lattice="8.6358 0.0000 0.0000 0.0000 11.0406 0.0000 0.0000 0.0000 14.8868" Properties=species:S:1:pos:R:3 comment="Ba4Na2O, optimized geometry, DFT PBE" de_polymorph_mev_per_atom=0.0 e_form_raw_ev_per_fu=-4.9 dos_at_fermi_per_ev_cell=24.836 pbc="T T T"
Ba 4.4317 7.5539 12.5601
Ba 4.2040 3.4867 2.3267
Ba 4.2040 9.0069 5.1167
Ba 0.1138 3.4867 2.3267
Ba 4.4317 2.0336 9.7701
Ba 8.5219 7.5539 12.5601
Ba 8.5219 2.0336 9.7701
Ba 0.1138 9.0069 5.1167
Ba 6.4768 0.0035 13.5745
Ba 2.1589 11.0371 1.3123
Ba 2.1589 5.5168 6.1311
Ba 6.4768 5.5238 8.7556
Ba 6.4768 2.0364 6.2547
Ba 2.1589 9.0041 8.6321
Ba 2.1589 3.4839 13.6980
Ba 6.4768 7.5567 1.1887
Na 6.4768 5.7484 4.8493
Na 2.1589 5.2922 10.0375
Na 2.1589 10.8125 12.2926
Na 6.4768 0.2281 2.5941
Na 6.4768 9.5874 9.0134
Na 2.1589 1.4532 5.8733
Na 2.1589 6.9735 1.5700
Na 6.4768 4.0671 13.3167
O 6.4768 8.5146 13.7188
O 2.1589 2.5259 1.1679
O 2.1589 8.0462 6.2754
O 6.4768 2.9943 8.6113

---

No. 2
12
Lattice="-1.2297 7.0869 2.9668 -7.1803 0.5523 -2.9457 -5.8267 -1.6552 7.6936" Properties=species:S:1:pos:R:3 comment="Ba3Na2O, optimized geometry, DFT PBE" de_polymorph_mev_per_atom=0.0 e_form_raw_ev_per_fu=-4.6 dos_at_fermi_per_ev_cell=8.695 pbc="T T T"
Ba -6.8842 2.0633 0.7193
Ba -7.3524 3.9207 6.9955
Ba -12.3237 5.1198 7.5255
Ba -4.3403 0.5702 4.5189
Ba -9.8963 5.4138 3.1959
Ba -1.9129 0.8642 0.1893
Na -8.2151 0.7900 4.0631
Na -3.2282 3.8946 2.2765
Na -11.0084 2.0894 5.4383
Na -6.0216 5.1940 3.6517
O -5.9871 5.4201 8.3521
O -8.2496 0.5639 -0.6373

---

No. 3
4
Lattice="4.0218 0.0013 0.0039 2.0120 3.4823 0.0039 2.0213 1.1670 10.3233" Properties=species:S:1:pos:R:3 comment="Ba2NaO, optimized geometry, DFT PBE" e_form_raw_ev_per_fu=-4.4 dos_at_fermi_per_ev_cell=3.293 pbc="T T T"
Ba 2.0240 1.1686 8.8371
Ba 2.0081 1.1594 1.6357
Na 4.0267 2.3248 5.1909
O 6.0450 3.4901 10.1562

---

Q: Number 2 is which compound?
A: Ba3Na2O